This record from the Alexandria database describes Ru3Au after structural relaxation. The functional is PBE-GGA.

abc: 5.2341 5.2341 5.2341
angles: 149.03 125.59 63.94
Sites, in units of the cell vectors:
Au: 0.9904 0.0000 0.9904
Ru: 0.0992 0.7582 0.3410
Ru: 0.4943 0.5000 0.9943
Ru: 0.5828 0.2418 0.3410

## Properties
As for the formation enthalpy at 0 K: 0.357 eV/atom. The value obtained for the energy above the most stable polymorph in this dataset is 0.186 eV/atom.